(1)
Below is Al2CuRe after structural relaxation, with properties calculated at the PBEsol level.

## Properties
Total magnetic moment ... 0.0 μB per formula unit
Fermi-level density of states ... 0.41 states/eV/atom
E_form ... -188 meV/atom

Geometry as POSCAR:
```
Al2CuRe
1.0
4.087 0.000 0.000
0.000 4.087 0.000
0.000 0.000 3.206
Al Cu Re
2 1 1
direct
0.000 0.500 0.000
0.500 0.000 0.000
0.000 0.000 0.500
0.500 0.500 0.500
```

=====

(2)
Below is Al2CuRe after structural relaxation, with properties calculated at the PBEsol level.

## Properties
Total magnetic moment ... 0.0 μB per formula unit
Fermi-level density of states ... 0.67 states/eV/atom
E_form ... 101 meV/atom

Geometry as POSCAR:
```
Al2CuRe
1.0
2.678 0.000 0.000
0.000 2.678 0.000
0.000 0.000 7.848
Al Cu Re
2 1 1
direct
0.000 0.000 0.000
0.500 0.500 0.281
0.000 0.000 0.506
0.500 0.500 0.749
```

=====

(3)
Below is Al2CuRh after structural relaxation, with properties calculated at the PBEsol level.

## Properties
Total magnetic moment ... 0.0 μB per formula unit
Fermi-level density of states ... 0.47 states/eV/atom
E_form ... -606 meV/atom

Geometry as POSCAR:
```
Al2CuRh
1.0
4.493 -1.463 0.000
4.493 1.463 0.000
-1.264 0.000 4.031
Al Cu Rh
2 1 1
direct
0.000 0.000 0.000
0.237 0.237 0.639
0.742 0.742 0.145
0.498 0.498 0.501
```

=====

(4)
Below is AlCu2Rh after structural relaxation, with properties calculated at the PBEsol level.

## Properties
Total magnetic moment ... 0.0 μB per formula unit
Fermi-level density of states ... 0.40 states/eV/atom
E_form ... -357 meV/atom

Geometry as POSCAR:
```
AlCu2Rh
1.0
4.699 -1.450 0.000
4.699 1.450 0.000
-1.723 0.000 3.658
Al Cu Rh
1 2 1
direct
0.000 0.000 0.000
0.258 0.258 0.758
0.742 0.742 0.242
0.500 0.500 0.500
```

=====

(5)
Below is Al2CuRh after structural relaxation, with properties calculated at the PBEsol level.

## Properties
Total magnetic moment ... 0.0 μB per formula unit
Fermi-level density of states ... 0.33 states/eV/atom
E_form ... -630 meV/atom

Geometry as POSCAR:
```
Al2CuRh
1.0
0.000 2.967 2.967
2.967 0.000 2.967
2.967 2.967 0.000
Al Cu Rh
2 1 1
direct
0.250 0.250 0.250
0.750 0.750 0.750
0.000 0.000 0.000
0.500 0.500 0.500
```

=====

(6)
Below is Al2CuRh after structural relaxation, with properties calculated at the PBEsol level.

## Properties
Total magnetic moment ... 0.0 μB per formula unit
Fermi-level density of states ... 0.24 states/eV/atom
E_form ... -620 meV/atom

Geometry as POSCAR:
```
Al2CuRh
1.0
-1.791 1.809 4.056
1.791 -1.809 4.056
1.791 1.809 -4.056
Al Cu Rh
2 1 1
direct
0.000 0.000 0.000
0.749 0.249 0.500
0.249 0.749 0.500
0.499 0.499 0.000
```

=====

Repeat the first record exactly.
Below is Al2CuRe after structural relaxation, with properties calculated at the PBEsol level.

## Properties
Total magnetic moment ... 0.0 μB per formula unit
Fermi-level density of states ... 0.41 states/eV/atom
E_form ... -188 meV/atom

Geometry as POSCAR:
```
Al2CuRe
1.0
4.087 0.000 0.000
0.000 4.087 0.000
0.000 0.000 3.206
Al Cu Re
2 1 1
direct
0.000 0.500 0.000
0.500 0.000 0.000
0.000 0.000 0.500
0.500 0.500 0.500
```

=====

Repeat the sixth record exactly.
Below is Al2CuRh after structural relaxation, with properties calculated at the PBEsol level.

## Properties
Total magnetic moment ... 0.0 μB per formula unit
Fermi-level density of states ... 0.24 states/eV/atom
E_form ... -620 meV/atom

Geometry as POSCAR:
```
Al2CuRh
1.0
-1.791 1.809 4.056
1.791 -1.809 4.056
1.791 1.809 -4.056
Al Cu Rh
2 1 1
direct
0.000 0.000 0.000
0.749 0.249 0.500
0.249 0.749 0.500
0.499 0.499 0.000
```